Entry 1:
## Ce2PuHg8 (PBE)

Data for Ce2PuHg8 after structural relaxation.

Unit cell a=5.257 b=7.378 c=15.081 alpha=90.00 beta=90.00 gamma=90.00
Space group Immm (No. 71)
Unique sites:
Ce 0.000 0.000 0.194 (multiplicity 4)
Pu 0.000 0.000 0.500 (multiplicity 2)
Hg 0.000 0.212 0.000 (multiplicity 4)
Hg 0.000 0.288 0.354 (multiplicity 8)
Hg 0.000 0.500 0.159 (multiplicity 4)

Output
Formation energy, eV/atom: -0.197
Fermi-level density of states, states/eV/f.u.: 28.672
Density, Mg/m³: 12.088
E_tot, eV/atom: -2.80

***

Entry 2:
## SmMgInRu (PBE)

Data for SmMgInRu after structural relaxation.

Unit cell a=6.929 b=6.929 c=6.929 alpha=90.00 beta=90.00 gamma=90.00
Space group F-43m (No. 216)
Unique sites:
Sm 0.000 0.000 0.000 (multiplicity 4)
Mg 0.250 0.250 0.250 (multiplicity 4)
In 0.000 0.000 0.500 (multiplicity 4)
Ru 0.250 0.250 0.750 (multiplicity 4)

Output
Formation energy, eV/atom: -0.093
Fermi-level density of states, states/eV/f.u.: 5.144
Density, Mg/m³: 7.796
E_tot, eV/atom: -4.68

***

Entry 3:
## HoSb12Os4 (PBE)

Data for HoSb12Os4 after structural relaxation.

Unit cell a=9.408 b=9.408 c=9.408 alpha=90.00 beta=90.00 gamma=90.00
Space group Im-3 (No. 204)
Unique sites:
Ho 0.000 0.000 0.000 (multiplicity 2)
Sb 0.000 0.337 0.156 (multiplicity 24)
Os 0.250 0.250 0.250 (multiplicity 8)

Output
Formation energy (no corrections), eV/atom: -0.11
Fermi-level density of states, states/eV/f.u.: 14.842
Density, Mg/m³: 9.521
E_tot, eV/atom: -5.93

***

Entry 4:
## Y3Lu (PBE)

Data for Y3Lu after structural relaxation.

Unit cell a=5.012 b=5.012 c=10.024 alpha=90.00 beta=90.00 gamma=90.00
Space group I4/mmm (No. 139)
Unique sites:
Y 0.000 0.000 0.000 (multiplicity 2)
Y 0.000 0.500 0.250 (multiplicity 4)
Lu 0.000 0.000 0.500 (multiplicity 2)

Output
Formation energy, eV/atom: 0.032
Fermi-level density of states, states/eV/f.u.: 6.376
Density, Mg/m³: 5.825
ΔE to the lowest computed polymorph, meV per atom: 31
E_tot, eV/atom: -5.95

***

Entry 5:
## Zr2CuSb (PBE)

Data for Zr2CuSb after structural relaxation.

Unit cell a=3.960 b=3.838 c=10.775 alpha=90.00 beta=90.00 gamma=90.00
Space group Amm2 (No. 38)
Unique sites:
Zr 0.000 0.000 0.000 (multiplicity 2)
Zr 0.500 0.000 0.314 (multiplicity 2)
Cu 0.500 0.000 0.567 (multiplicity 2)
Sb 0.000 0.000 0.723 (multiplicity 2)

Output
Formation energy (no corrections), eV/atom: -0.46
Fermi-level density of states, states/eV/f.u.: 2.610
Density, Mg/m³: 7.457
E_tot, eV/atom: -6.79

***

Entry 6:
## PmSn2Te4Au (PBE)

Data for PmSn2Te4Au after structural relaxation.

Unit cell a=7.809 b=4.384 c=7.942 alpha=90.00 beta=111.58 gamma=90.00
Space group P2/m (No. 10)
Unique sites:
Pm 0.000 0.000 0.000 (multiplicity 1)
Sn 0.000 0.500 0.500 (multiplicity 1)
Sn 0.500 0.000 0.500 (multiplicity 1)
Te 0.241 0.500 0.256 (multiplicity 2)
Te 0.272 0.000 0.775 (multiplicity 2)
Au 0.500 0.500 0.000 (multiplicity 1)

Output
Formation energy (no corrections), eV/atom: -0.49
Fermi-level density of states, states/eV/f.u.: 0.515
Density, Mg/m³: 7.157
E_tot, eV/atom: -4.07

***

Entry 7:
## NbMoAs2 (PBE)

Data for NbMoAs2 after structural relaxation.

Unit cell a=5.806 b=5.806 c=11.450 alpha=90.00 beta=90.00 gamma=90.00
Space group I-42d (No. 122)
Unique sites:
Nb 0.000 0.000 0.000 (multiplicity 4)
Mo 0.000 0.000 0.500 (multiplicity 4)
As 0.241 0.250 0.625 (multiplicity 8)

Output
Formation energy, eV/atom: 0.452
Fermi-level density of states, states/eV/f.u.: 4.355
Density, Mg/m³: 5.829
ΔE to the lowest computed polymorph, meV per atom: 654
E_tot, eV/atom: -7.10

***

Entry 8:
## Ho6Mn4Al43 (PBE)

Data for Ho6Mn4Al43 after structural relaxation.

Unit cell a=10.8841 b=10.8841 c=17.5360 alpha=90.00 beta=90.00 gamma=120.00
Space group P6_3/mcm (No. 193)
Unique sites:
Ho 0.0000 0.4687 0.0951 (multiplicity 12)
Mn 0.0000 0.0000 0.0000 (multiplicity 2)
Mn 0.0000 0.2668 0.2500 (multiplicity 6)
Al 0.0000 0.1447 0.7500 (multiplicity 6)
Al 0.0000 0.1543 0.1162 (multiplicity 12)
Al 0.0000 0.2497 0.5303 (multiplicity 12)
Al 0.1445 0.5464 0.2500 (multiplicity 12)
Al 0.1576 0.3907 0.6657 (multiplicity 24)
Al 0.2462 0.4924 0.0000 (multiplicity 12)
Al 0.3333 0.6667 0.1273 (multiplicity 8)

Output
Formation energy, eV/atom: -0.274
Fermi-level density of states, states/eV/f.u.: 24.374
Density, Mg/m³: 4.374
E_tot, eV/atom: -4.52

***

Entry 9:
## HgSb (PBE)

Data for HgSb after structural relaxation.

Unit cell a=8.049 b=8.049 c=8.049 alpha=90.00 beta=90.00 gamma=90.00
Space group Pm-3n (No. 223)
Unique sites:
Hg 0.000 0.250 0.500 (multiplicity 6)
Sb 0.000 0.500 0.250 (multiplicity 6)

Output
Formation energy (no corrections), eV/atom: 0.31
Fermi-level density of states, states/eV/f.u.: 2.359
Density, Mg/m³: 6.159
ΔE to the lowest computed polymorph, meV per atom: 283
E_tot, eV/atom: -1.90

***

Entry 10:
## ZrInFe2 (PBE)

Data for ZrInFe2 after structural relaxation.

Unit cell a=4.340 b=4.340 c=3.309 alpha=90.00 beta=90.00 gamma=90.00
Space group P4/mmm (No. 123)
Unique sites:
Zr 0.000 0.000 0.000 (multiplicity 1)
In 0.500 0.500 0.000 (multiplicity 1)
Fe 0.000 0.500 0.500 (multiplicity 2)

Output
Formation energy, eV/atom: 0.030
Fermi-level density of states, states/eV/f.u.: 4.848
Density, Mg/m³: 8.467
E_tot, eV/atom: -7.02

***

Entry 11:
## Sc2CdMo2 (PBE)

Data for Sc2CdMo2 after structural relaxation.

Unit cell a=7.305 b=7.305 c=3.799 alpha=90.00 beta=90.00 gamma=90.00
Space group P4/mbm (No. 127)
Unique sites:
Sc 0.177 0.323 0.000 (multiplicity 4)
Cd 0.000 0.000 0.500 (multiplicity 2)
Mo 0.113 0.613 0.500 (multiplicity 4)

Output
Formation energy, eV/atom: 0.154
Fermi-level density of states, states/eV/f.u.: 2.361
Density, Mg/m³: 6.458
ΔE to the lowest computed polymorph, meV per atom: 0
E_tot, eV/atom: -6.89

***

Entry 12:
## ZrTlSbO6 (PBE)

Data for ZrTlSbO6 after structural relaxation.

Unit cell a=4.952 b=4.952 c=9.912 alpha=90.00 beta=90.00 gamma=90.00
Space group P4_2nm (No. 102)
Unique sites:
Zr 0.000 0.000 0.000 (multiplicity 2)
Tl 0.000 0.000 0.329 (multiplicity 2)
Sb 0.000 0.000 0.662 (multiplicity 2)
O 0.178 0.178 0.822 (multiplicity 4)
O 0.197 0.197 0.514 (multiplicity 4)
O 0.213 0.213 0.150 (multiplicity 4)

Output
Formation energy (no corrections), eV/atom: -1.82
Density, Mg/m³: 7.014
E_tot, eV/atom: -6.80

***

Entry 13:
## Hf8AlCo2 (PBE)

Data for Hf8AlCo2 after structural relaxation.

Unit cell a=12.300 b=7.423 c=5.512 alpha=90.00 beta=112.32 gamma=90.00
Space group C2/m (No. 12)
Unique sites:
Hf 0.105 0.000 0.261 (multiplicity 4)
Hf 0.123 0.199 0.778 (multiplicity 8)
Hf 0.152 0.500 0.237 (multiplicity 4)
Al 0.000 0.500 0.500 (multiplicity 2)
Co 0.210 0.500 0.845 (multiplicity 4)

Output
Formation energy, eV/atom: 0.072
Fermi-level density of states, states/eV/f.u.: 10.987
Density, Mg/m³: 11.218
E_tot, eV/atom: -8.80